Entry 1:
LiPa5Se6, relaxed, DFT PBE-GGA; E_form (uncorrected) = -119.1 kJ/mol of atoms
1.0
6.927 0.155 1.045
1.690 5.865 3.418
0.114 0.072 6.979
Pa Se Li
5 6 1
Direct
0.500 0.172 0.656
0.000 0.334 0.332
0.500 0.500 0.000
0.000 0.666 0.668
0.500 0.828 0.344
0.763 0.078 0.318
0.237 0.603 0.318
0.246 0.238 0.000
0.754 0.762 0.000
0.763 0.397 0.682
0.237 0.922 0.682
0.000 0.000 0.000

Entry 2:
Sc2TiPbO, relaxed, DFT PBE-GGA; E_form (uncorrected) = -119.1 kJ/mol of atoms
1.0
4.608 0.000 0.000
0.000 4.608 0.000
0.000 0.000 4.087
Pb Sc O Ti
1 2 1 1
Direct
0.500 0.500 0.500
0.000 0.500 0.000
0.500 0.000 0.000
0.000 0.000 0.000
0.000 0.000 0.500

Entry 3:
ZrRe2Pd, relaxed, DFT PBE-GGA; energy of formation = 36.6 kJ/mol of atoms; ΔE to the lowest computed polymorph = 0.000 eV/atom
1.0
-0.231 3.137 3.283
1.129 4.313 -0.893
-3.218 3.209 -0.144
Re Zr Pd
2 1 1
Direct
0.250 0.250 0.250
0.750 0.750 0.750
0.000 0.000 0.000
0.500 0.500 0.500

Entry 4:
SrAgSe2Br, relaxed, DFT PBE-GGA; E_form (uncorrected) = -10.0 kJ/mol of atoms; ΔE to the lowest computed polymorph = 0.562 eV/atom
1.0
-5.778 1.375 0.173
-1.264 -4.926 -3.073
-0.557 -2.969 4.988
Sr Se Br Ag
1 2 1 1
Direct
0.000 0.000 0.000
0.000 0.500 0.000
0.500 0.000 0.000
0.000 0.000 0.500
0.500 0.500 0.500